Compound: SrCaIr2
Source: Alexandria
Functional: PBE
Structure: optimized geometry

- theoretical density (g/cm³) = 7.87
- DFT total energy (eV for the cell shown) = -21.12
- total moment (μB per formula unit) = 0.0
- energy of formation from the pure elements (meV per atom) = 71.6
- calculated volume (Å³/cell) = 108
- N(E_F) (states/eV/cell) = 3.6
- distance to the lowest polymorph of the same formula (meV/atom) = 362

a b c (Å): 3.566 3.566 8.497
angles (deg): 90.00 90.00 90.00
Fractional coordinates of all 4 atoms:
Sr 0.000 0.000 0.425
Ca 0.500 0.500 0.835
Ir 0.000 0.000 0.082
Ir 0.500 0.500 0.158